(1)
First-principles (PBEsol) data for a relaxed structure of Ta2MnCo, as listed in Alexandria via LeMat-Bulk.

**Energy relative to the elements**: -0.15 eV per atom
**Volume**: 55.6 Å³ per cell
**Space group**: Fm-3m (225)
**DOS(E_F)**: 0.6127 states/eV/atom

Lattice parameters (Å, degrees): 4.285 4.285 4.285 60.00 60.00 60.00
Sites, in units of the cell vectors:
Ta  0.250  0.250  0.250
Ta  0.750  0.750  0.750
Mn  0.000  0.000  0.000
Co  0.500  0.500  0.500

---

(2)
First-principles (PBEsol) data for a relaxed structure of Ta3MnCo, as listed in Alexandria via LeMat-Bulk.

**Energy relative to the elements**: 0.96 eV per atom
**Volume**: 92.1 Å³ per cell
**Space group**: Pm-3m (221)
**DOS(E_F)**: 1.0226 states/eV/atom

Lattice parameters (Å, degrees): 4.515 4.515 4.515 90.00 90.00 90.00
Sites, in units of the cell vectors:
Ta  0.000  0.000  0.500
Ta  0.000  0.500  0.000
Ta  0.500  0.000  0.000
Mn  0.500  0.500  0.500
Co  0.000  0.000  0.000

---

(3)
First-principles (PBEsol) data for a relaxed structure of Mn2CoTc, as listed in Alexandria via LeMat-Bulk.

**Energy relative to the elements**: 0.08 eV per atom
**Volume**: 47.7 Å³ per cell
**Space group**: P4/mmm (123)
**DOS(E_F)**: 0.7615 states/eV/atom

Lattice parameters (Å, degrees): 2.865 2.865 5.813 90.00 90.00 90.00
Sites, in units of the cell vectors:
Mn  0.000  0.000  0.237
Mn  0.000  0.000  0.763
Co  0.500  0.500  0.000
Tc  0.500  0.500  0.500